1.
{"formula": "Tb2Te", "functional": "PBE-GGA", "state": "relaxed", "sg": "I4/mmm, No. 139", "total_energy_ev_per_atom": -4.9147, "raw_formation_energy_mev_per_atom": -781, "dos_at_fermi_per_ev_fu": 2.149, "cell": [[-1.7779, -2.6245, -2.2391], [3.3761, -0.8056, -1.7365], [0.2620, -2.3878, 5.9542]], "species": ["Te", "Tb", "Tb"], "frac_coords": [[0.0000, 0.0000, 0.0000], [0.6551, 0.6551, 0.3102], [0.3449, 0.3449, 0.6898]]}



2.
{"formula": "Tl3Hg2Bi", "functional": "PBE-GGA", "state": "relaxed", "sg": "P2_1/c, No. 14", "relative_energy_mev_per_atom": 25, "total_energy_ev_per_atom": -1.9285, "dos_at_fermi_per_ev_fu": 2.298, "formation_enthalpy_0k_ev_per_atom": 0.00, "cell": [[-11.7801, 8.3315, 3.0030], [-0.2870, -2.5846, 6.0449], [9.4001, 1.9399, 1.2758]], "species": ["Tl", "Tl", "Tl", "Tl", "Tl", "Tl", "Tl", "Tl", "Tl", "Tl", "Tl", "Tl", "Hg", "Hg", "Hg", "Hg", "Hg", "Hg", "Hg", "Hg", "Bi", "Bi", "Bi", "Bi"], "frac_coords": [[0.3737, 0.9993, 0.1410], [0.1263, 0.4993, 0.3590], [0.6263, 0.0007, 0.8590], [0.8737, 0.5007, 0.6410], [0.3726, 0.5007, 0.1402], [0.1274, 0.0007, 0.3598], [0.6274, 0.4993, 0.8598], [0.8726, 0.9993, 0.6402], [0.8761, 0.7526, 0.2928], [0.6239, 0.2526, 0.2072], [0.1239, 0.2474, 0.7072], [0.3761, 0.7474, 0.7928], [0.6242, 0.7522, 0.1969], [0.8758, 0.2522, 0.3031], [0.3758, 0.2478, 0.8031], [0.1242, 0.7478, 0.6969], [0.3739, 0.7505, 0.4603], [0.1261, 0.2505, 0.0397], [0.6261, 0.2495, 0.5397], [0.8739, 0.7495, 0.9603], [0.6230, 0.7492, 0.5312], [0.8770, 0.2492, 0.9688], [0.3770, 0.2508, 0.4688], [0.1230, 0.7508, 0.0312]]}



3.
{"formula": "TbPmNd3Ho", "functional": "PBE-GGA", "state": "relaxed", "sg": "Cmcm, No. 63", "total_energy_ev_per_atom": -4.6946, "dos_at_fermi_per_ev_fu": 8.673, "formation_enthalpy_0k_ev_per_atom": 0.02, "cell": [[-1.3898, -3.3699, 3.5973], [-0.6359, -3.5887, -7.2530], [9.7387, -3.2246, 0.7417]], "species": ["Tb", "Tb", "Pm", "Pm", "Nd", "Nd", "Nd", "Nd", "Nd", "Nd", "Ho", "Ho"], "frac_coords": [[0.8340, 0.6679, 0.7500], [0.1660, 0.3321, 0.2500], [0.4989, 0.9979, 0.7500], [0.5011, 0.0021, 0.2500], [0.6653, 0.3305, 0.4996], [0.3347, 0.6695, 0.5004], [0.3347, 0.6695, 0.9996], [0.6653, 0.3305, 0.0004], [0.1666, 0.3332, 0.7500], [0.8334, 0.6668, 0.2500], [0.0000, 0.0000, 0.5000], [0.0000, 0.0000, 0.0000]]}



4.
{"formula": "SbAsCl", "functional": "PBE-GGA", "state": "relaxed", "sg": "Fmm2, No. 42", "relative_energy_mev_per_atom": 265, "total_energy_ev_per_atom": -3.4517, "raw_formation_energy_mev_per_atom": 88, "dos_at_fermi_per_ev_fu": 1.097, "cell": [[7.1635, -0.0425, 0.0328], [6.1532, 3.2095, 0.1240], [1.0103, -0.7408, 3.1678]], "species": ["Sb", "As", "Cl"], "frac_coords": [[0.6621, 0.6621, 0.3379], [0.0190, 0.0190, 0.9810], [0.3188, 0.3188, 0.6812]]}



5.
{"formula": "ZnCl5", "functional": "PBE-GGA", "state": "relaxed", "sg": "Amm2, No. 38", "relative_energy_mev_per_atom": 134, "total_energy_ev_per_atom": -2.0164, "raw_formation_energy_mev_per_atom": -265, "dos_at_fermi_per_ev_fu": 3.855, "cell": [[1.7215, -6.0668, 0.0000], [1.7215, 6.0668, 0.0000], [0.0000, 0.0000, 8.3635]], "species": ["Zn", "Cl", "Cl", "Cl", "Cl", "Cl"], "frac_coords": [[0.1148, 0.8852, 0.5000], [0.9953, 0.0047, 0.0000], [0.3299, 0.6701, 0.0000], [0.6634, 0.3366, 0.0000], [0.4839, 0.5161, 0.5000], [0.7459, 0.2541, 0.5000]]}



6.
{"formula": "Ac6DyCd5", "functional": "PBE-GGA", "state": "relaxed", "sg": "P2/m, No. 10", "total_energy_ev_per_atom": -3.0257, "dos_at_fermi_per_ev_fu": 14.172, "formation_enthalpy_0k_ev_per_atom": -0.21, "cell": [[-0.6594, -4.4044, -3.6332], [7.4500, 1.5150, -3.1886], [3.9339, -3.1780, 7.6822]], "species": ["Ac", "Ac", "Ac", "Ac", "Ac", "Ac", "Cd", "Cd", "Cd", "Cd", "Cd", "Dy"], "frac_coords": [[0.8305, 0.7498, 0.6594], [0.8306, 0.2503, 0.6594], [0.5000, 0.2648, 0.0000], [0.5000, 0.7352, 0.0000], [0.1694, 0.7497, 0.3406], [0.1695, 0.2502, 0.3406], [0.6649, 0.5000, 0.3342], [0.3461, 0.0000, 0.6905], [0.0000, 0.5000, 0.0000], [0.6539, 0.0000, 0.3095], [0.3351, 0.5000, 0.6658], [0.0000, 0.0000, 0.0000]]}



7.
{"formula": "ScCuW", "functional": "PBE-GGA", "state": "relaxed", "sg": "P3m1, No. 156", "relative_energy_mev_per_atom": 202, "total_energy_ev_per_atom": -7.4251, "dos_at_fermi_per_ev_fu": 2.292, "formation_enthalpy_0k_ev_per_atom": 0.37, "cell": [[-1.4177, -2.3321, -0.9854], [1.1909, -0.0367, 2.6458], [-5.8727, 2.4389, 2.6773]], "species": ["Cu", "Sc", "W"], "frac_coords": [[0.0000, 0.0000, 0.9928], [0.6667, 0.3333, 0.3279], [0.3333, 0.6667, 0.6793]]}



8.
{"formula": "CeYPdPt", "functional": "PBE-GGA", "state": "relaxed", "sg": "F-43m, No. 216", "relative_energy_mev_per_atom": 87, "total_energy_ev_per_atom": -6.8133, "dos_at_fermi_per_ev_fu": 7.492, "formation_enthalpy_0k_ev_per_atom": -0.91, "cell": [[5.0162, 0.0000, 0.0000], [2.5081, 4.3442, 0.0000], [2.5081, 1.4481, 4.0957]], "species": ["Y", "Pd", "Ce", "Pt"], "frac_coords": [[0.5000, 0.5000, 0.5000], [0.2500, 0.2500, 0.2500], [0.0000, 0.0000, 0.0000], [0.7500, 0.7500, 0.7500]]}



9.
{"formula": "Pr2Dy9Y3", "functional": "PBE-GGA", "state": "relaxed", "sg": "P1, No. 1", "total_energy_ev_per_atom": -4.9051, "dos_at_fermi_per_ev_fu": 19.830, "formation_enthalpy_0k_ev_per_atom": 0.12, "cell": [[5.3272, 0.8749, 2.9704], [4.0444, 8.3814, 7.5047], [3.6559, 4.1798, 16.0250]], "species": ["Pr", "Pr", "Dy", "Dy", "Dy", "Dy", "Dy", "Dy", "Dy", "Dy", "Dy", "Y", "Y", "Y"], "frac_coords": [[0.3697, 0.3021, 0.6967], [0.5823, 0.7045, 0.2979], [0.9896, 0.5126, 0.4849], [0.5064, 0.9672, 0.6919], [0.4793, 0.0424, 0.2937], [0.9075, 0.7711, 0.8904], [0.0673, 0.2469, 0.0928], [0.8770, 0.8404, 0.4941], [0.0958, 0.1721, 0.4915], [0.6609, 0.4445, 0.8971], [0.2990, 0.5812, 0.0869], [0.1914, 0.9086, 0.0935], [0.6963, 0.3738, 0.2908], [0.2773, 0.6328, 0.6978]]}



10.
{"formula": "PmTl2ReO6", "functional": "PBE-GGA", "state": "relaxed", "sg": "P-3m1, No. 164", "total_energy_ev_per_atom": -6.8309, "raw_formation_energy_mev_per_atom": -1663, "dos_at_fermi_per_ev_fu": 0.000, "cell": [[-1.3269, 5.2877, -2.4932], [-5.2367, 0.5098, 3.8683], [5.7569, 2.3728, 1.9684]], "species": ["Pm", "Tl", "Tl", "Re", "O", "O", "O", "O", "O", "O"], "frac_coords": [[0.5000, 0.0000, 0.0000], [0.0276, 0.3333, 0.6667], [0.9724, 0.6667, 0.3333], [0.0000, 0.0000, 0.0000], [0.8053, 0.1342, 0.2684], [0.8053, 0.1342, 0.8658], [0.8053, 0.7316, 0.8658], [0.1947, 0.8658, 0.1342], [0.1947, 0.2684, 0.1342], [0.1947, 0.8658, 0.7316]]}